## RbAlRe2O8 (GGA-PBE)

Data for RbAlRe2O8 after structural relaxation.

Unit cell a=5.5524 b=5.5524 c=7.2323 alpha=90.00 beta=90.00 gamma=120.00
Fractional coordinates of all 12 atoms:
Rb 0.0000 0.0000 0.0000
Al 0.0000 0.0000 0.5000
Re 0.3333 0.6667 0.7375
Re 0.6667 0.3333 0.2625
O 0.1564 0.3127 0.6546
O 0.1564 0.8436 0.6546
O 0.3127 0.1564 0.3454
O 0.3333 0.6667 0.9820
O 0.6667 0.3333 0.0180
O 0.6873 0.8436 0.6546
O 0.8436 0.1564 0.3454
O 0.8436 0.6873 0.3454

Computed properties:
crystal system = trigonal
SG = P-3m1
VASP energy = -90.48 eV for the cell shown

=====

## Al2Re2O5 (GGA-PBE)

Data for Al2Re2O5 after structural relaxation.

Unit cell a=3.8410 b=3.8410 c=6.6282 alpha=90.00 beta=90.00 gamma=90.00
Fractional coordinates of all 9 atoms:
Al 0.0000 0.0000 0.0000
Al 0.0000 0.0000 0.5000
Re 0.5000 0.5000 0.1796
Re 0.5000 0.5000 0.8204
O 0.0000 0.5000 0.2602
O 0.0000 0.5000 0.7398
O 0.5000 0.0000 0.2602
O 0.5000 0.0000 0.7398
O 0.5000 0.5000 0.5000

Computed properties:
crystal system = tetragonal
energy above the most stable polymorph in this dataset = 0.242 eV per atom
SG = P4/mmm
VASP energy = -64.35 eV for the cell shown

=====

## AlRe2O4 (GGA-PBE)

Data for AlRe2O4 after structural relaxation.

Unit cell a=5.9435 b=5.9435 c=5.9435 alpha=60.00 beta=60.00 gamma=60.00
Fractional coordinates of all 14 atoms:
Al 0.1250 0.1250 0.1250
Al 0.8750 0.8750 0.8750
Re 0.0000 0.5000 0.5000
Re 0.5000 0.0000 0.5000
Re 0.5000 0.5000 0.0000
Re 0.5000 0.5000 0.5000
O 0.2329 0.7557 0.7557
O 0.2443 0.2443 0.2443
O 0.2443 0.2443 0.7671
O 0.2443 0.7671 0.2443
O 0.7557 0.2329 0.7557
O 0.7557 0.7557 0.2329
O 0.7557 0.7557 0.7557
O 0.7671 0.2443 0.2443

Computed properties:
crystal system = cubic
SG = Fd-3m
VASP energy = -112.86 eV for the cell shown

=====

Q: The lowest VASP energy belongs to which entry?
A: AlRe2O4